First-principles (PBE) data for an optimized crystal structure of La2In3Hg3, as listed in Alexandria. Values from VASP.

Cell and atoms, written as Quantum ESPRESSO input:
```
&SYSTEM
  ibrav = 0, nat = 8, ntyp = 3
/
ATOMIC_SPECIES
La 138.91 La.upf
In 114.82 In.upf
Hg 200.59 Hg.upf
CELL_PARAMETERS angstrom
-2.4729 -3.9176 1.0322
1.5163 -2.0239 -4.0485
7.5814 -3.5675 4.6230
ATOMIC_POSITIONS crystal
La 0.0000 0.0000 0.7525
La 0.0000 0.0000 0.2475
In 0.5000 0.0000 0.5000
In 0.0000 0.5000 0.0000
In 0.0000 0.5000 0.5000
Hg 0.5000 0.5000 0.7377
Hg 0.5000 0.5000 0.2623
Hg 0.5000 0.0000 0.0000
```

- spin magnetization (μB/cell) = 0.000
- energy of formation from the pure elements (kcal/mol of atoms) = -9.7
- density of states at the Fermi level (states/eV/cell) = 4.6